A geometry-optimized PrDy4Ho2 structure, computed with PBE.

Lattice parameters (Å, degrees): 8.518 8.518 8.753 118.56 118.56 23.93
Element x y z (fractional)
Pr1 0.000 0.000 0.000
Dy1 0.294 0.294 0.706
Dy2 0.359 0.359 0.167
Dy3 0.641 0.641 0.833
Dy4 0.706 0.706 0.294
Ho1 0.071 0.071 0.431
Ho2 0.929 0.929 0.569

Calculated values
* energy above the most stable polymorph in this dataset: 0.00 eV/f.u.
* total magnetization: 0.00 μB per formula unit
* Fermi-level density of states: 1.455 states/eV/atom
* space-group type: No. 12
* energy of formation from the pure elements: 0.03 eV/atom

=====

A geometry-optimized MnHgPt structure, computed with PBE.

Lattice parameters (Å, degrees): 4.459 4.459 4.459 60.00 60.00 60.00
Element x y z (fractional)
Mn1 0.000 0.000 0.000
Hg1 0.500 0.500 0.500
Pt1 0.750 0.750 0.750

Calculated values
* energy above the most stable polymorph in this dataset: 0.51 eV/f.u.
* total magnetization: 4.43 μB per formula unit
* Fermi-level density of states: 0.455 states/eV/atom
* space-group type: No. 216
* energy of formation from the pure elements: 0.10 eV/atom

=====

A geometry-optimized Pr3Al2Tl structure, computed with PBE.

Lattice parameters (Å, degrees): 3.800 3.800 11.595 90.00 90.00 90.00
Element x y z (fractional)
Pr1 0.000 0.000 0.000
Pr2 0.000 0.000 0.320
Pr3 0.000 0.000 0.680
Al1 0.500 0.500 0.160
Al2 0.500 0.500 0.840
Tl1 0.500 0.500 0.500

Calculated values
* total magnetization: 0.00 μB per formula unit
* Fermi-level density of states: 0.545 states/eV/atom
* space-group type: No. 123
* energy of formation from the pure elements: -0.35 eV/atom

=====

A geometry-optimized Tb6Pr3Sc structure, computed with PBE.

Lattice parameters (Å, degrees): 10.959 10.959 6.330 90.00 90.00 119.90
Element x y z (fractional)
Tb1 0.044 0.956 0.500
Tb2 0.045 0.464 0.023
Tb3 0.276 0.724 0.757
Tb4 0.288 0.378 0.841
Tb5 0.378 0.288 0.341
Tb6 0.464 0.045 0.523
Tb7 0.536 0.955 0.023
Tb8 0.622 0.712 0.841
Tb9 0.712 0.622 0.341
Tb10 0.724 0.276 0.257
Tb11 0.955 0.536 0.523
Tb12 0.956 0.044 0.000
Pr1 0.055 0.284 0.436
Pr2 0.284 0.055 0.936
Pr3 0.386 0.614 0.322
Pr4 0.614 0.386 0.822
Pr5 0.716 0.945 0.436
Pr6 0.945 0.716 0.936
Sc1 0.200 0.800 0.270
Sc2 0.800 0.200 0.770

Calculated values
* total magnetization: 0.00 μB per formula unit
* Fermi-level density of states: 1.410 states/eV/atom
* space-group type: No. 36
* energy of formation from the pure elements: 0.15 eV/atom

=====

A geometry-optimized Ac7RuPb4 structure, computed with PBE.

Lattice parameters (Å, degrees): 8.911 8.911 12.270 122.73 122.73 36.78
Element x y z (fractional)
Ac1 0.000 0.000 0.000
Ac2 0.139 0.139 0.544
Ac3 0.281 0.281 0.129
Ac4 0.427 0.427 0.735
Ac5 0.573 0.573 0.265
Ac6 0.719 0.719 0.871
Ac7 0.861 0.861 0.456
Ru1 0.500 0.500 0.000
Pb1 0.078 0.078 0.775
Pb2 0.225 0.225 0.347
Pb3 0.775 0.775 0.653
Pb4 0.922 0.922 0.225

Calculated values
* total magnetization: 0.00 μB per formula unit
* Fermi-level density of states: 0.481 states/eV/atom
* space-group type: No. 12
* energy of formation from the pure elements: -0.25 eV/atom

=====

A geometry-optimized SrBeAg4 structure, computed with PBE.

Lattice parameters (Å, degrees): 5.628 5.628 5.628 60.00 60.00 60.00
Element x y z (fractional)
Sr1 0.000 0.000 0.000
Be1 0.250 0.250 0.250
Ag1 0.127 0.624 0.624
Ag2 0.624 0.127 0.624
Ag3 0.624 0.624 0.127
Ag4 0.624 0.624 0.624

Calculated values
* total magnetization: 0.00 μB per formula unit
* Fermi-level density of states: 0.966 states/eV/atom
* space-group type: No. 216
* energy of formation from the pure elements: 0.17 eV/atom